(1)
YTl2Sb | PBE | relaxed

Cell and atoms, written as CIF:
```
data_YTl2Sb
_chemical_formula_sum 'Y1 Tl2 Sb1'
_space_group_name_H-M_alt 'P 4/m m m'
_space_group_IT_number 123
_space_group_name_Hall '-P 4 2'
_cell_length_a 4.6214
_cell_length_b 4.6214
_cell_length_c 5.2130
_cell_angle_alpha 90.00
_cell_angle_beta 90.00
_cell_angle_gamma 90.00
loop_
_atom_site_label
_atom_site_type_symbol
_atom_site_fract_x
_atom_site_fract_y
_atom_site_fract_z
Y1 Y 0.0000 0.0000 0.0000
Tl1 Tl 0.0000 0.5000 0.5000
Sb1 Sb 0.5000 0.5000 0.0000
```

DOS(E_F) ... 0.498 states/eV/atom
Crystal system ... tetragonal
E ... -4.192 eV/atom
E_form (uncorrected) ... -0.362 eV per atom
Energy above the most stable polymorph in this dataset ... 0.006 eV/atom
Size of the total moment ... 0.0 μB/f.u.
V ... 27.83 A^3/atom


(2)
YTl2Sb2 | PBE | relaxed

Cell and atoms, written as CIF:
```
data_YTl2Sb2
_chemical_formula_sum 'Y2 Tl4 Sb4'
_space_group_name_H-M_alt 'I 4/m m m'
_space_group_IT_number 139
_space_group_name_Hall '-I 4 2'
_cell_length_a 4.3668
_cell_length_b 4.3668
_cell_length_c 16.2562
_cell_angle_alpha 90.00
_cell_angle_beta 90.00
_cell_angle_gamma 90.00
loop_
_atom_site_label
_atom_site_type_symbol
_atom_site_fract_x
_atom_site_fract_y
_atom_site_fract_z
Y1 Y 0.0000 0.0000 0.0000
Tl1 Tl 0.0000 0.0000 0.4051
Sb1 Sb 0.0000 0.5000 0.2500
```

DOS(E_F) ... 0.711 states/eV/atom
Crystal system ... tetragonal
E ... -3.793 eV/atom
E_form (uncorrected) ... 0.096 eV per atom
Energy above the most stable polymorph in this dataset ... 0.322 eV/atom
Size of the total moment ... 0.0 μB/f.u.
V ... 31.00 A^3/atom


(3)
YTl2Sb | PBE | relaxed

Cell and atoms, written as CIF:
```
data_YTl2Sb
_chemical_formula_sum 'Y4 Tl8 Sb4'
_space_group_name_H-M_alt 'F -4 3 m'
_space_group_IT_number 216
_space_group_name_Hall 'F -4 2 3'
_cell_length_a 7.7172
_cell_length_b 7.7172
_cell_length_c 7.7172
_cell_angle_alpha 90.00
_cell_angle_beta 90.00
_cell_angle_gamma 90.00
loop_
_atom_site_label
_atom_site_type_symbol
_atom_site_fract_x
_atom_site_fract_y
_atom_site_fract_z
Y1 Y 0.0000 0.0000 0.0000
Tl1 Tl 0.0000 0.0000 0.5000
Tl2 Tl 0.2500 0.2500 0.2500
Sb1 Sb 0.2500 0.2500 0.7500
```

DOS(E_F) ... 0.865 states/eV/atom
Crystal system ... cubic
E ... -4.033 eV/atom
E_form (uncorrected) ... -0.203 eV per atom
Energy above the most stable polymorph in this dataset ... 0.165 eV/atom
Size of the total moment ... 0.0 μB/f.u.
V ... 28.73 A^3/atom


(4)
YTlSb | PBE | relaxed

Cell and atoms, written as CIF:
```
data_YTlSb
_chemical_formula_sum 'Y4 Tl4 Sb4'
_space_group_name_H-M_alt 'F -4 3 m'
_space_group_IT_number 216
_space_group_name_Hall 'F -4 2 3'
_cell_length_a 7.3061
_cell_length_b 7.3061
_cell_length_c 7.3061
_cell_angle_alpha 90.00
_cell_angle_beta 90.00
_cell_angle_gamma 90.00
loop_
_atom_site_label
_atom_site_type_symbol
_atom_site_fract_x
_atom_site_fract_y
_atom_site_fract_z
Y1 Y 0.0000 0.0000 0.0000
Tl1 Tl 0.2500 0.2500 0.2500
Sb1 Sb 0.2500 0.2500 0.7500
```

DOS(E_F) ... 0.948 states/eV/atom
Crystal system ... cubic
E ... -4.602 eV/atom
E_form (uncorrected) ... -0.284 eV per atom
Energy above the most stable polymorph in this dataset ... 0.241 eV/atom
Size of the total moment ... 0.0 μB/f.u.
V ... 32.50 A^3/atom


(5)
Y3TlSb | PBE | relaxed

Cell and atoms, written as CIF:
```
data_Y3TlSb
_chemical_formula_sum 'Y3 Tl1 Sb1'
_space_group_name_H-M_alt 'P m -3 m'
_space_group_IT_number 221
_space_group_name_Hall '-P 4 2 3'
_cell_length_a 5.6541
_cell_length_b 5.6541
_cell_length_c 5.6541
_cell_angle_alpha 90.00
_cell_angle_beta 90.00
_cell_angle_gamma 90.00
loop_
_atom_site_label
_atom_site_type_symbol
_atom_site_fract_x
_atom_site_fract_y
_atom_site_fract_z
Y1 Y 0.0000 0.0000 0.5000
Tl1 Tl 0.5000 0.5000 0.5000
Sb1 Sb 0.0000 0.0000 0.0000
```

DOS(E_F) ... 0.547 states/eV/atom
Crystal system ... cubic
E ... -5.289 eV/atom
E_form (uncorrected) ... -0.113 eV per atom
Energy above the most stable polymorph in this dataset ... 0.391 eV/atom
Size of the total moment ... 0.0 μB/f.u.
V ... 36.15 A^3/atom


(6)
YTlSb4 | PBE | relaxed

Cell and atoms, written as CIF:
```
data_YTlSb4
_chemical_formula_sum 'Y4 Tl4 Sb16'
_space_group_name_H-M_alt 'F -4 3 m'
_space_group_IT_number 216
_space_group_name_Hall 'F -4 2 3'
_cell_length_a 8.9133
_cell_length_b 8.9133
_cell_length_c 8.9133
_cell_angle_alpha 90.00
_cell_angle_beta 90.00
_cell_angle_gamma 90.00
loop_
_atom_site_label
_atom_site_type_symbol
_atom_site_fract_x
_atom_site_fract_y
_atom_site_fract_z
Y1 Y 0.0000 0.0000 0.0000
Tl1 Tl 0.2500 0.2500 0.2500
Sb1 Sb 0.1251 0.1251 0.6251
```

DOS(E_F) ... 0.880 states/eV/atom
Crystal system ... cubic
E ... -4.259 eV/atom
E_form (uncorrected) ... -0.039 eV per atom
Size of the total moment ... 0.0 μB/f.u.
V ... 29.51 A^3/atom


(7)
YTl2Sb | PBE | relaxed

Cell and atoms, written as CIF:
```
data_YTl2Sb
_chemical_formula_sum 'Y2 Tl4 Sb2'
_space_group_name_H-M_alt 'C 1 2/m 1'
_space_group_IT_number 12
_space_group_name_Hall '-C 2y'
_cell_length_a 6.2992
_cell_length_b 12.0573
_cell_length_c 4.4207
_cell_angle_alpha 90.00
_cell_angle_beta 134.49
_cell_angle_gamma 90.00
loop_
_atom_site_label
_atom_site_type_symbol
_atom_site_fract_x
_atom_site_fract_y
_atom_site_fract_z
Y1 Y 0.0000 0.0000 0.0000
Tl1 Tl 0.2500 0.2500 0.0000
Sb1 Sb 0.0000 0.5000 0.0000
```

DOS(E_F) ... 0.517 states/eV/atom
Crystal system ... monoclinic
E ... -4.192 eV/atom
E_form (uncorrected) ... -0.363 eV per atom
Energy above the most stable polymorph in this dataset ... 0.006 eV/atom
Size of the total moment ... 0.0 μB/f.u.
V ... 29.94 A^3/atom


(8)
YTl2Sb | PBE | relaxed

Cell and atoms, written as CIF:
```
data_YTl2Sb
_chemical_formula_sum 'Y3 Tl6 Sb3'
_space_group_name_H-M_alt 'R -3 m'
_space_group_IT_number 166
_space_group_name_Hall '-R 3 2"'
_cell_length_a 3.6261
_cell_length_b 3.6261
_cell_length_c 30.3366
_cell_angle_alpha 90.00
_cell_angle_beta 90.00
_cell_angle_gamma 120.00
loop_
_atom_site_label
_atom_site_type_symbol
_atom_site_fract_x
_atom_site_fract_y
_atom_site_fract_z
Y1 Y 0.0000 0.0000 0.0000
Tl1 Tl 0.0000 0.0000 0.2477
Sb1 Sb 0.0000 0.0000 0.5000
```

DOS(E_F) ... 0.531 states/eV/atom
Crystal system ... trigonal
E ... -3.839 eV/atom
E_form (uncorrected) ... -0.009 eV per atom
Energy above the most stable polymorph in this dataset ... 0.359 eV/atom
Size of the total moment ... 0.0 μB/f.u.
V ... 28.79 A^3/atom


(9)
Y3TlSb | PBE | relaxed

Cell and atoms, written as CIF:
```
data_Y3TlSb
_chemical_formula_sum 'Y6 Tl2 Sb2'
_space_group_name_H-M_alt 'P 1 m 1'
_space_group_IT_number 6
_space_group_name_Hall 'P -2y'
_cell_length_a 8.4415
_cell_length_b 4.1536
_cell_length_c 8.7892
_cell_angle_alpha 90.00
_cell_angle_beta 104.33
_cell_angle_gamma 90.00
loop_
_atom_site_label
_atom_site_type_symbol
_atom_site_fract_x
_atom_site_fract_y
_atom_site_fract_z
Y1 Y 0.0000 0.0000 0.0000
Y2 Y 0.0027 0.5000 0.6401
Y3 Y 0.2403 0.0000 0.3841
Y4 Y 0.3382 0.0000 0.8639
Y5 Y 0.6685 0.0000 0.2819
Y6 Y 0.6716 0.5000 0.9475
Tl1 Tl 0.3602 0.5000 0.1398
Tl2 Tl 0.7155 0.0000 0.6646
Sb1 Sb 0.3826 0.5000 0.6292
Sb2 Sb 0.9435 0.5000 0.2643
```

DOS(E_F) ... 0.931 states/eV/atom
Crystal system ... monoclinic
E ... -5.680 eV/atom
E_form (uncorrected) ... -0.504 eV per atom
Energy above the most stable polymorph in this dataset ... 0.000 eV/atom
Size of the total moment ... 0.0 μB/f.u.
V ... 29.86 A^3/atom


(10)
YTlZnSb2 | PBE | relaxed

Cell and atoms, written as CIF:
```
data_YTlZnSb2
_chemical_formula_sum 'Y1 Tl1 Zn1 Sb2'
_space_group_name_H-M_alt 'P 4/m m m'
_space_group_IT_number 123
_space_group_name_Hall '-P 4 2'
_cell_length_a 5.7851
_cell_length_b 5.7851
_cell_length_c 5.7626
_cell_angle_alpha 90.00
_cell_angle_beta 90.00
_cell_angle_gamma 90.00
loop_
_atom_site_label
_atom_site_type_symbol
_atom_site_fract_x
_atom_site_fract_y
_atom_site_fract_z
Y1 Y 0.0000 0.0000 0.0000
Tl1 Tl 0.5000 0.5000 0.5000
Zn1 Zn 0.0000 0.0000 0.5000
Sb1 Sb 0.0000 0.5000 0.0000
```

DOS(E_F) ... 0.440 states/eV/atom
Crystal system ... tetragonal
E ... -3.502 eV/atom
E_form (uncorrected) ... 0.167 eV per atom
Size of the total moment ... 0.0 μB/f.u.
V ... 38.57 A^3/atom


(11)
TlZn2Sb | PBE | relaxed

Cell and atoms, written as CIF:
```
data_TlZn2Sb
_chemical_formula_sum 'Tl1 Zn2 Sb1'
_space_group_name_H-M_alt 'P 1 m 1'
_space_group_IT_number 6
_space_group_name_Hall 'P -2y'
_cell_length_a 4.8501
_cell_length_b 4.4490
_cell_length_c 4.8592
_cell_angle_alpha 90.00
_cell_angle_beta 110.07
_cell_angle_gamma 90.00
loop_
_atom_site_label
_atom_site_type_symbol
_atom_site_fract_x
_atom_site_fract_y
_atom_site_fract_z
Tl1 Tl 0.0000 0.0000 0.0000
Zn1 Zn 0.2509 0.5000 0.7513
Zn2 Zn 0.4101 0.0000 0.5889
Sb1 Sb 0.6218 0.5000 0.3792
```

DOS(E_F) ... 0.353 states/eV/atom
Crystal system ... monoclinic
E ... -2.156 eV/atom
E_form (uncorrected) ... 0.103 eV per atom
Energy above the most stable polymorph in this dataset ... 0.043 eV/atom
Size of the total moment ... 0.0 μB/f.u.
V ... 24.62 A^3/atom


(12)
TlZnSb2 | PBE | relaxed

Cell and atoms, written as CIF:
```
data_TlZnSb2
_chemical_formula_sum 'Tl1 Zn1 Sb2'
_space_group_name_H-M_alt 'P 4 m m'
_space_group_IT_number 99
_space_group_name_Hall 'P 4 -2'
_cell_length_a 3.2521
_cell_length_b 3.2521
_cell_length_c 9.7939
_cell_angle_alpha 90.00
_cell_angle_beta 90.00
_cell_angle_gamma 90.00
loop_
_atom_site_label
_atom_site_type_symbol
_atom_site_fract_x
_atom_site_fract_y
_atom_site_fract_z
Tl1 Tl 0.0000 0.0000 0.0000
Zn1 Zn 0.5000 0.5000 0.2297
Sb1 Sb 0.0000 0.0000 0.4325
Sb2 Sb 0.5000 0.5000 0.7208
```

DOS(E_F) ... 0.525 states/eV/atom
Crystal system ... tetragonal
E ... -2.762 eV/atom
E_form (uncorrected) ... 0.209 eV per atom
Energy above the most stable polymorph in this dataset ... 0.199 eV/atom
Size of the total moment ... 0.0 μB/f.u.
V ... 25.90 A^3/atom


(13)
TlZnSb2 | PBE | relaxed

Cell and atoms, written as CIF:
```
data_TlZnSb2
_chemical_formula_sum 'Tl3 Zn3 Sb6'
_space_group_name_H-M_alt 'R -3 m'
_space_group_IT_number 166
_space_group_name_Hall '-R 3 2"'
_cell_length_a 3.4411
_cell_length_b 3.4411
_cell_length_c 30.8774
_cell_angle_alpha 90.00
_cell_angle_beta 90.00
_cell_angle_gamma 120.00
loop_
_atom_site_label
_atom_site_type_symbol
_atom_site_fract_x
_atom_site_fract_y
_atom_site_fract_z
Tl1 Tl 0.0000 0.0000 0.0000
Zn1 Zn 0.0000 0.0000 0.5000
Sb1 Sb 0.0000 0.0000 0.2345
```

DOS(E_F) ... 0.245 states/eV/atom
Crystal system ... trigonal
E ... -2.889 eV/atom
E_form (uncorrected) ... 0.082 eV per atom
Energy above the most stable polymorph in this dataset ... 0.072 eV/atom
Size of the total moment ... 0.0 μB/f.u.
V ... 26.39 A^3/atom